1.
Crystalline ErCd2In2 at its relaxed geometry, computed with GGA-PBE.

## Properties
crystal system	hexagonal
D(E_F)	0.66	states/eV per atom
symmetry	No. 194
energy	-2.39	eV per atom

a = 5.082 Å, b = 5.082 Å, c = 12.266 Å
α = 90.00°, β = 90.00°, γ = 120.00°
Fractional positions:
In  0.000  0.000  0.000
In  0.000  0.000  0.500
In  0.333  0.667  0.250
In  0.667  0.333  0.750
Cd  0.333  0.667  0.884
Cd  0.667  0.333  0.116
Cd  0.667  0.333  0.384
Cd  0.333  0.667  0.616
Er  0.000  0.000  0.750
Er  0.000  0.000  0.250

---

2.
Crystalline NaBiAu3 at its relaxed geometry, computed with GGA-PBE.

## Properties
crystal system	trigonal
D(E_F)	0.40	states/eV per atom
symmetry	No. 166
ΔE to the lowest computed polymorph	0.0	kJ per mole of atoms

a = 5.526 Å, b = 5.526 Å, c = 9.563 Å
α = 73.21°, β = 73.21°, γ = 60.00°
Fractional positions:
Au  0.748  0.245  0.260
Au  0.748  0.748  0.260
Au  0.252  0.252  0.740
Au  0.252  0.755  0.740
Au  0.755  0.252  0.740
Au  0.245  0.748  0.260
Bi  0.316  0.316  0.053
Bi  0.684  0.684  0.947
Na  0.187  0.187  0.438
Na  0.813  0.813  0.562

---

3.
Crystalline TaTcP2 at its relaxed geometry, computed with GGA-PBE.

## Properties
crystal system	orthorhombic
D(E_F)	0.62	states/eV per atom
symmetry	No. 47
ΔE to the lowest computed polymorph	59.1	kJ per mole of atoms

a = 3.286 Å, b = 4.919 Å, c = 3.670 Å
α = 90.00°, β = 90.00°, γ = 90.00°
Fractional positions:
Tc  0.000  0.500  0.500
P  0.500  0.500  0.000
P  0.000  0.000  0.000
Ta  0.500  0.000  0.500

---

Which value of D(E_F) does entry 1 give? 0.66 states/eV per atom